Compound: KSrIr2
Source: Alexandria via LeMat-Bulk
Functional: PBE
Structure: optimized geometry

Unit cell a=5.6588 b=5.6588 c=5.6588 alpha=136.38 beta=136.35 gamma=63.41
Last column: nearest neighbours and their distance in Å.
Fractional positions:
Ir  0.0000  0.0000  0.0000  4 Ir 2.97, 4 K 3.20, 4 Sr 3.20
Ir  0.5000  0.5000  0.0000  4 Ir 2.97, 4 K 3.20, 4 Sr 3.20
K  0.7500  0.2500  0.5000  4 Sr 2.97, 8 Ir 3.20
Sr  0.2500  0.7500  0.5000  4 K 2.97, 8 Ir 3.20

Properties
Space-group type = I4/mmm, No. 139
V = 21.29 Å³/atom
Calculated total energy = -4.415 eV per atom
Energy of formation = 0.71 eV/atom